The following is a DFT calculation (PBE-GGA) of crystalline Cu3Pt4Rh2 at its relaxed geometry.

Cell and atoms, written as POSCAR:
```
Cu3Pt4Rh2
1.0
2.6403 -0.0005 -0.7328
-0.3500 6.5714 -1.2363
0.5411 1.1157 7.0263
Cu Pt Rh
3 4 2
direct
0.1099 0.6655 0.2206
0.0000 0.0000 0.0000
0.8901 0.3345 0.7794
0.7762 0.6700 0.5517
0.2238 0.3300 0.4483
0.5510 0.3263 0.1006
0.4490 0.6737 0.8994
0.3344 0.0014 0.6685
0.6656 0.9986 0.3315
```

**ρ**: 15.2 Mg/m³
**Energy of formation**: -0.0490 eV/atom